An optimized crystal structure of LiCa2Mn, computed with GGA-PBE.

Results
Magnetic moment   3.518 Bohr magnetons per cell
Uncorrected energy   -3.37 eV/atom
Energy of formation   0.40 eV per atom

Geometry as CIF:
```
data_LiCa2Mn
_space_group_name_H-M_alt 'P 1'
_space_group_IT_number 1
_space_group_name_Hall 'P 1'
_cell_length_a 10.4866
_cell_length_b 10.4866
_cell_length_c 10.4866
_cell_angle_alpha 19.98
_cell_angle_beta 19.98
_cell_angle_gamma 19.98
loop_
_atom_site_label
_atom_site_fract_x
_atom_site_fract_y
_atom_site_fract_z
Li1 0.0000 0.0000 0.0000
Ca1 0.2409 0.2409 0.2409
Ca2 0.7591 0.7591 0.7591
Mn1 0.5000 0.5000 0.5000
```